The following is a PBE calculation of BaGeCl2 after structural relaxation, from Alexandria.

a = 5.2746 Å, b = 5.2746 Å, c = 10.3052 Å
α = 75.17°, β = 75.17°, γ = 90.00°
Closest atoms and distances in Å follow each position.
Positions (direct):
1 Ba 0.7500 0.2500 0.5000  4 Cl 3.09
2 Ge 0.2500 0.7500 0.5000  4 Cl 2.99
3 Cl 0.8750 0.8540 0.7500  2 Ge 2.99, 2 Ba 3.09
4 Ge 0.5000 0.5000 0.0000  4 Cl 2.99
5 Cl 0.6040 0.1250 0.2500  2 Ge 2.99, 2 Ba 3.09
6 Cl 0.1460 0.6250 0.2500  2 Ge 2.99, 2 Ba 3.09
7 Cl 0.3750 0.3960 0.7500  2 Ge 2.99, 2 Ba 3.09
8 Ba 0.0000 0.0000 0.0000  4 Cl 3.09

Computed properties:
Fermi-level density of states (states/eV/cell): 3.5
ΔE_f (raw) (meV per atom): -1027
Theoretical density (g cm⁻³): 3.5
DFT total energy (eV per atom): -3.585